Here is a relaxed Tm2CuB2Rh5 crystal from the Alexandria database. Energies are from GGA-PBE.

```
20
Lattice="-1.8375 2.0850 1.5369 -5.2817 -7.0612 3.2647 5.5606 -0.6671 7.5531" Properties=species:S:1:pos:R:3 pbc="T T T"
Rh -1.6803 -0.5436 2.0098
Rh 0.7621 -1.3291 5.9953
Rh 0.0626 -3.4622 8.0529
Rh 1.8616 0.7089 4.5450
Rh -3.5596 -2.4881 2.4008
Rh -4.6178 -5.6690 5.4509
Rh -1.6212 -2.1811 4.3018
Rh 0.1217 -5.0997 10.3449
Rh 3.0593 0.0257 6.9039
Rh -2.3206 -4.3142 6.3595
Cu 0.0000 0.0000 0.0000
Cu 0.1395 -3.8642 5.4089
Tm -2.5918 -4.8887 3.5334
Tm 0.8750 -1.4572 3.0229
Tm -0.5961 -6.2711 7.7948
Tm 2.8708 -2.8396 7.2844
B 2.8152 -1.3015 5.1314
B 1.5619 -4.9985 8.6483
B -1.2829 -2.7298 2.1694
B -2.5363 -6.4268 5.6864
```

- size of the total moment (μB/cell) = 0.00
- raw total energy (eV per atom) = -7.03
- ΔE_f (kJ per mole of atoms) = -68.9



Here is a relaxed Zr2NiP crystal from the Alexandria database. Energies are from GGA-PBE.

```
4
Lattice="2.0056 -2.5303 0.0000 2.0056 2.5303 0.0000 0.0000 0.0000 6.9646" Properties=species:S:1:pos:R:3 pbc="T T T"
P 2.0056 0.0000 2.0624
Zr 0.0000 0.0000 0.3328
Zr 2.0056 0.0000 4.8635
Ni 0.0000 0.0000 3.1883
```

- size of the total moment (μB/cell) = 0.00
- raw total energy (eV per atom) = -7.48
- ΔE_f (kJ per mole of atoms) = -39.0



Here is a relaxed FeCuPt2 crystal from the Alexandria database. Energies are from GGA-PBE.

```
4
Lattice="-1.6420 3.6214 2.3073 -3.4924 1.5981 2.5266 1.6108 -0.9997 4.3695" Properties=species:S:1:pos:R:3 pbc="T T T"
Pt -1.7562 2.1045 4.5998
Pt 1.6052 -0.9944 4.3714
Fe -2.6427 3.1648 6.9025
Cu -0.8809 1.0549 2.3008
```

- size of the total moment (μB/cell) = 3.34
- raw total energy (eV per atom) = -6.31
- ΔE_f (kJ per mole of atoms) = -14.5



Here is a relaxed LiAl3Au crystal from the Alexandria database. Energies are from GGA-PBE.

```
5
Lattice="4.9303 0.0000 0.0000 0.0000 4.9303 0.0000 0.0000 0.0000 4.9303" Properties=species:S:1:pos:R:3 pbc="T T T"
Au 0.0000 0.0000 0.0000
Li 2.4652 2.4652 2.4652
Al 2.4652 0.0000 0.0000
Al 0.0000 2.4652 0.0000
Al 0.0000 0.0000 2.4652
```

- offset from the most stable computed form (meV per atom) = 443.8
- size of the total moment (μB/cell) = 0.00
- raw total energy (eV per atom) = -3.04
- ΔE_f (kJ per mole of atoms) = 23.8



Here is a relaxed Pm2PdPt crystal from the Alexandria database. Energies are from GGA-PBE.

```
4
Lattice="-1.0056 0.1497 3.1323 -2.9828 -1.1240 0.8272 2.6149 -9.5362 3.0264" Properties=species:S:1:pos:R:3 pbc="T T T"
Pm -2.9327 -3.4399 4.4163
Pm 1.5591 -7.0705 2.5696
Pd -0.6868 -5.2552 3.4929
Pt 0.0000 0.0000 0.0000
```

- offset from the most stable computed form (meV per atom) = 952.8
- size of the total moment (μB/cell) = 0.00
- raw total energy (eV per atom) = -5.25
- ΔE_f (kJ per mole of atoms) = -6.2



Here is a relaxed Sm2Tl3BiS6 crystal from the Alexandria database. Energies are from GGA-PBE.

```
12
Lattice="7.1634 -0.0015 0.0002 -3.5812 6.2039 0.0002 -1.1945 -2.0683 7.4837" Properties=species:S:1:pos:R:3 pbc="T T T"
S 3.5928 2.0468 5.9573
S 2.3765 4.1148 1.5330
S 0.0112 0.0194 5.9511
S -1.2051 2.0874 1.5269
S -0.0227 4.1349 5.9573
S 2.4103 -0.0006 1.5269
Sm 0.0002 4.1355 0.0002
Sm 3.5820 2.0669 0.0002
Tl -2.3820 4.1323 3.7421
Tl 1.1938 2.0671 3.7421
Tl 4.7697 0.0019 3.7421
Bi 0.0000 0.0000 0.0000
```

- size of the total moment (μB/cell) = 0.00
- raw total energy (eV per atom) = -4.88
- formation energy without anion corrections (kJ/mol of atoms) = -107.97



Here is a relaxed CeBiPb2 crystal from the Alexandria database. Energies are from GGA-PBE.

```
4
Lattice="-0.4056 -3.2764 1.0464 2.4285 -1.5062 1.9564 -5.1557 2.4278 11.3342" Properties=species:S:1:pos:R:3 pbc="T T T"
Pb -3.6166 1.3660 8.6063
Pb 0.4838 -3.7208 5.7308
Bi -1.5664 -1.1774 7.1685
Ce 0.0000 0.0000 0.0000
```

- size of the total moment (μB/cell) = 1.53
- raw total energy (eV per atom) = -4.10
- ΔE_f (kJ per mole of atoms) = 20.4



Here is a relaxed Ca2In7Ag12 crystal from the Alexandria database. Energies are from GGA-PBE.

```
21
Lattice="3.2578 0.0000 0.0000 0.0000 10.8448 -6.2614 0.0000 0.0001 12.5229" Properties=species:S:1:pos:R:3 pbc="T T T"
In 0.8430 9.3949 -1.8451
In 2.4148 3.0996 3.4639
In 0.8430 4.5495 -0.9525
In 2.4148 6.2954 7.2140
In 0.8430 7.7453 2.7976
In 2.4148 1.4499 8.1066
In 1.6289 0.0000 0.0000
Ag 0.8131 9.9704 0.9831
Ag 0.7498 0.7819 2.5998
Ag 2.5080 2.6424 0.6228
Ag 2.4448 0.8745 5.2784
Ag 0.8130 6.7110 -2.8649
Ag 0.7499 8.2025 5.6387
Ag 2.5080 8.9844 -4.2843
Ag 2.5080 10.0630 3.6617
Ag 2.4448 4.1339 9.1264
Ag 2.4448 5.8366 4.3797
Ag 0.8131 5.0083 1.8818
Ag 0.7499 1.8605 10.5458
Ca 2.4638 7.2299 0.0000
Ca 0.7940 3.6150 6.2615
```

- size of the total moment (μB/cell) = 0.00
- raw total energy (eV per atom) = -2.81
- ΔE_f (kJ per mole of atoms) = -7.4



Here is a relaxed RbEr2AgTe4 crystal from the Alexandria database. Energies are from GGA-PBE.

```
16
Lattice="4.4592 0.0000 0.0000 -2.2296 7.5956 0.0000 0.0000 0.0000 15.8240" Properties=species:S:1:pos:R:3 pbc="T T T"
Te 2.2296 0.8299 3.9560
Te 0.0000 0.0000 0.0000
Te 0.0000 4.0023 6.3078
Te 0.0000 0.0000 7.9120
Te 2.2296 3.5933 9.5161
Te 0.0000 6.7657 11.8680
Te 0.0000 4.0023 1.6041
Te 2.2296 3.5933 14.2198
Ag 0.0000 2.4776 3.9560
Ag 2.2296 5.1180 11.8680
Rb 2.2296 5.7032 3.9560
Rb 0.0000 1.8924 11.8680
Er 2.2296 1.9746 1.0918
Er 0.0000 5.6209 9.0038
Er 0.0000 5.6209 14.7322
Er 2.2296 1.9746 6.8202
```

- size of the total moment (μB/cell) = 0.00
- raw total energy (eV per atom) = -4.30
- formation energy without anion corrections (kJ/mol of atoms) = -107.07



Here is a relaxed LiHo5Pd6 crystal from the Alexandria database. Energies are from GGA-PBE.

```
12
Lattice="-0.8003 -3.6228 3.1808 6.4756 -2.3821 -4.8271 0.5274 7.1075 4.4848" Properties=species:S:1:pos:R:3 pbc="T T T"
Ho 2.4832 3.9872 1.4229
Ho 5.1636 -2.7387 -1.8092
Ho 3.1013 0.5513 1.4192
Ho 1.0391 3.8414 4.6476
Ho 4.5197 0.7382 -1.7652
Pd 2.6104 -1.3308 -0.8493
Pd 3.5922 2.4335 3.6878
Pd 4.9389 2.6230 0.4818
Pd 5.6147 -0.7931 0.5217
Pd 1.2638 -1.5203 2.3566
Pd 0.5880 1.8957 2.3168
Li 0.0000 0.0000 0.0000
```

- size of the total moment (μB/cell) = 0.00
- raw total energy (eV per atom) = -5.51
- ΔE_f (kJ per mole of atoms) = -81.3



Here is a relaxed Li2CaPuCl6 crystal from the Alexandria database. Energies are from GGA-PBE.

```
10
Lattice="-2.7403 -5.6437 2.6263 1.2030 -1.6652 6.4831 -5.4452 0.7682 4.7748" Properties=species:S:1:pos:R:3 pbc="T T T"
Cl -2.9740 -5.7864 7.6247
Cl -3.9218 -0.7760 6.4092
Cl -5.9364 -3.8202 6.3031
Cl -2.8227 -3.8187 4.4300
Cl -0.9700 -2.6142 7.4655
Cl -4.2298 -2.8668 9.3872
Pu -0.8833 -2.1956 3.1670
Li -5.1618 0.5846 4.6741
Li -3.3065 -3.3907 6.8785
Ca -4.2688 -5.5345 10.0720
```

- size of the total moment (μB/cell) = 6.00
- raw total energy (eV per atom) = -5.05
- formation energy without anion corrections (kJ/mol of atoms) = -185.38



Here is a relaxed KEuTlIn crystal from the Alexandria database. Energies are from GGA-PBE.

```
4
Lattice="5.7495 0.0000 0.0000 2.8748 4.9792 0.0000 2.8748 1.6597 4.6945" Properties=species:S:1:pos:R:3 pbc="T T T"
Eu 5.7495 3.3195 2.3472
K 0.0000 0.0000 0.0000
Tl 2.8748 1.6597 1.1736
In 8.6243 4.9792 3.5209
```

- size of the total moment (μB/cell) = 7.17
- raw total energy (eV per atom) = -4.28
- ΔE_f (kJ per mole of atoms) = -16.0